A plane-wave DFT calculation with PBE+U was carried out for PaCdNiO6 after structural relaxation.

a = 5.3442 Å, b = 5.3442 Å, c = 4.6787 Å
α = 90.00°, β = 90.00°, γ = 120.00°
Space group P312 (No. 149)
Asymmetric unit:
Pa (0.0000, 0.0000, 0.0000) x1
Cd (0.6667, 0.3333, 0.5000) x1
Ni (0.3333, 0.6667, 0.5000) x1
O (0.0425, 0.3550, 0.2630) x6

The value obtained for the total energy is -56.663 eV for the cell shown.